# 1
Here is a geometry-optimized LaReTe2 structure from Alexandria. Energies are from GGA-PBE.

Structure (extended XYZ):
```
4
Lattice="-2.208 2.208 5.242 2.208 -2.208 5.242 2.208 2.208 -5.242" Properties=species:S:1:pos:R:3 pbc="T T T"
La 0.000 0.000 0.000
Re 2.208 0.000 2.621
Te 0.000 0.000 5.242
Te 0.000 2.208 2.621
```

Fermi-level density of states in states/eV/f.u.: 5.18

---

# 2
Here is a geometry-optimized LaReTe2 structure from Alexandria. Energies are from GGA-PBE.

Structure (extended XYZ):
```
4
Lattice="-2.120 2.958 4.153 2.120 -2.958 4.153 2.120 2.958 -4.153" Properties=species:S:1:pos:R:3 pbc="T T T"
La 0.000 0.000 0.000
Re 0.000 0.000 4.153
Te 2.120 0.000 2.513
Te 0.000 2.958 1.640
```

Fermi-level density of states in states/eV/f.u.: 3.19

---

# 3
Here is a geometry-optimized LaReTe structure from Alexandria. Energies are from GGA-PBE.

Structure (extended XYZ):
```
6
Lattice="5.297 0.000 0.000 0.000 4.143 0.000 -1.298 0.000 7.691" Properties=species:S:1:pos:R:3 pbc="T T T"
La 0.704 1.036 1.930
La 3.294 3.107 5.761
Re 0.840 3.107 7.304
Re 3.158 1.036 0.387
Te 0.564 1.036 5.314
Te 3.434 3.107 2.376
```

Fermi-level density of states in states/eV/f.u.: 1.44

---

# 4
Here is a geometry-optimized LaReTe2 structure from Alexandria. Energies are from GGA-PBE.

Structure (extended XYZ):
```
4
Lattice="1.766 1.020 9.313 -1.766 1.020 9.313 0.000 -2.040 9.313" Properties=species:S:1:pos:R:3 pbc="T T T"
La 0.000 0.000 0.000
Re 0.000 0.000 13.970
Te 0.000 0.000 6.511
Te 0.000 0.000 21.428
```

Fermi-level density of states in states/eV/f.u.: 3.38

---

E: -22.818 -24.572 -43.523 -23.082 (eV/cell)
Energy above the lowest structure with this stoichiometry: 0.4383 0.0000 0.0697 0.3725 (eV/atom)
Formation energy without anion corrections: 0.210 -0.228 -0.415 0.144 (eV/atom)